{
  "formula": "NaZn2Mo2O10",
  "functional": "GGA+U",
  "state": "optimized geometry",
  "n_ef_per_ev_cell": 3.3,
  "volume_a3_per_cell": 213.5,
  "total_energy_ev_per_atom": -5.700,
  "lattice_angstrom": [[3.225, 4.586, -0.062], [-3.225, 4.586, -0.062], [0.000, 3.289, 7.174]],
  "species": ["O", "O", "O", "O", "Mo", "O", "O", "O", "Zn", "O", "O", "Zn", "Na", "Mo", "O"],
  "frac_coords": [[0.772, 0.772, 0.493], [0.178, 0.724, 0.745], [0.724, 0.178, 0.745], [0.629, 0.629, 0.946], [0.072, 0.072, 0.726], [0.228, 0.228, 0.507], [0.822, 0.276, 0.255], [0.163, 0.163, 0.899], [0.500, 0.000, 0.000], [0.371, 0.371, 0.054], [0.837, 0.837, 0.101], [0.000, 0.500, 0.000], [0.500, 0.500, 0.500], [0.928, 0.928, 0.274], [0.276, 0.822, 0.255]]
}